1.
VASP calculation (PBE) on a relaxed structure of Ac4Zn2Ag.

mass density = 7.99 Mg/m³
energy relative to the elements = -136 meV/atom

POSCAR file:
```
Ac4Zn2Ag
1.0
7.803 0.000 0.000
0.000 7.803 0.000
0.000 0.000 7.824
Ac Zn Ag
8 4 2
Cartesian
1.951 1.951 1.956
1.951 1.951 5.868
1.951 5.852 1.956
1.951 5.852 5.868
5.852 1.951 1.956
5.852 1.951 5.868
5.852 5.852 1.956
5.852 5.852 5.868
0.000 3.902 0.000
0.000 3.902 3.912
3.902 0.000 0.000
3.902 0.000 3.912
0.000 0.000 0.000
3.902 3.902 3.912
```

=====

2.
VASP calculation (PBE) on a relaxed structure of MgAs2Pd7Pb2.

mass density = 9.61 Mg/m³
energy relative to the elements = -353 meV/atom

POSCAR file:
```
MgAs2Pd7Pb2
1.0
2.865 -2.855 0.000
2.865 2.855 0.000
-1.754 0.000 14.084
Mg As Pd Pb
1 2 7 2
Cartesian
0.000 0.000 0.000
1.107 0.000 10.684
2.868 0.000 3.400
1.440 1.427 1.986
1.202 0.000 8.181
2.536 1.427 12.097
2.865 0.000 0.000
1.440 -1.427 1.986
2.773 0.000 5.903
2.536 -1.427 12.097
-0.047 0.000 5.470
4.022 0.000 8.614
```

=====

- Which of these has the lowest energy relative to the elements?
  MgAs2Pd7Pb2

=====

Please write out number 2 again, unchanged.
VASP calculation (PBE) on a relaxed structure of MgAs2Pd7Pb2.

mass density = 9.61 Mg/m³
energy relative to the elements = -353 meV/atom

POSCAR file:
```
MgAs2Pd7Pb2
1.0
2.865 -2.855 0.000
2.865 2.855 0.000
-1.754 0.000 14.084
Mg As Pd Pb
1 2 7 2
Cartesian
0.000 0.000 0.000
1.107 0.000 10.684
2.868 0.000 3.400
1.440 1.427 1.986
1.202 0.000 8.181
2.536 1.427 12.097
2.865 0.000 0.000
1.440 -1.427 1.986
2.773 0.000 5.903
2.536 -1.427 12.097
-0.047 0.000 5.470
4.022 0.000 8.614
```

=====

- The highest energy relative to the elements belongs to which entry?
  Ac4Zn2Ag

=====

Please write out number 1 again, unchanged.
VASP calculation (PBE) on a relaxed structure of Ac4Zn2Ag.

mass density = 7.99 Mg/m³
energy relative to the elements = -136 meV/atom

POSCAR file:
```
Ac4Zn2Ag
1.0
7.803 0.000 0.000
0.000 7.803 0.000
0.000 0.000 7.824
Ac Zn Ag
8 4 2
Cartesian
1.951 1.951 1.956
1.951 1.951 5.868
1.951 5.852 1.956
1.951 5.852 5.868
5.852 1.951 1.956
5.852 1.951 5.868
5.852 5.852 1.956
5.852 5.852 5.868
0.000 3.902 0.000
0.000 3.902 3.912
3.902 0.000 0.000
3.902 0.000 3.912
0.000 0.000 0.000
3.902 3.902 3.912
```